Record 1
Computed, not measured: an optimized crystal structure of SrV3Ga at the PBE level of DFT.

a b c (Å): 4.9517 4.9517 4.9517
angles (deg): 90.00 90.00 90.00
Positions (direct):
1 Sr 0.0000 0.0000 0.0000
2 V 0.0000 0.5000 0.5000
3 V 0.5000 0.0000 0.5000
4 V 0.5000 0.5000 0.0000
5 Ga 0.5000 0.5000 0.5000

**Polymorph energy (0 for the lowest one)**: 0.0 kJ/mol of atoms
**ΔE_f**: 954 meV per atom
**Calculated density**: 4.24 g cm⁻³


Record 2
Computed, not measured: an optimized crystal structure of ErNpRh6 at the PBE level of DFT.

a b c (Å): 4.0255 4.0255 8.0216
angles (deg): 90.00 90.00 90.00
Positions (direct):
1 Er 0.0000 0.0000 0.0000
2 Np 0.0000 0.0000 0.5000
3 Rh 0.0000 0.5000 0.2604
4 Rh 0.0000 0.5000 0.7396
5 Rh 0.5000 0.0000 0.2604
6 Rh 0.5000 0.0000 0.7396
7 Rh 0.5000 0.5000 0.0000
8 Rh 0.5000 0.5000 0.5000

**ΔE_f**: -515 meV per atom
**Calculated density**: 13.05 g cm⁻³


Record 3
Computed, not measured: an optimized crystal structure of Cs2NaLaSc at the PBE level of DFT.

a b c (Å): 7.5253 7.5253 5.8324
angles (deg): 90.00 90.00 90.00
Positions (direct):
1 Cs 0.0000 0.5000 0.0000
2 Cs 0.5000 0.0000 0.0000
3 Na 0.0000 0.0000 0.5000
4 La 0.5000 0.5000 0.5000
5 Sc 0.5000 0.5000 0.0000

**ΔE_f**: 782 meV per atom
**Calculated density**: 2.38 g cm⁻³


Record 4
Computed, not measured: an optimized crystal structure of Tl2ZnTe at the PBE level of DFT.

a b c (Å): 5.5238 5.5238 5.5238
angles (deg): 60.00 60.00 60.00
Positions (direct):
1 Tl 0.0000 0.0000 0.0000
2 Tl 0.2500 0.2500 0.2500
3 Zn 0.7500 0.7500 0.7500
4 Te 0.5000 0.5000 0.5000

**Polymorph energy (0 for the lowest one)**: 13.8 kJ/mol of atoms
**Calculated density**: 8.38 g cm⁻³
**Formation energy without anion corrections**: 58.6 meV per atom